# EuAl9Co2

A relaxed structure of EuAl9Co2 (GGA-PBEsol, the Alexandria database).

As for the energy relative to the elements: -413 meV/atom. The calculation puts the total energy at -5.65 eV per atom. Its density of states at the Fermi level is 11.187 states/eV/cell.

Cell and atoms, written as POSCAR:
```
EuAl9Co2
1.0
3.842 0.000 0.000
0.000 7.816 0.000
0.000 -3.908 6.769
Al Co Eu
9 2 1
direct
0.500 0.213 0.787
0.000 0.000 0.500
0.500 0.787 0.575
0.500 0.425 0.213
0.500 0.575 0.787
0.500 0.213 0.425
0.000 0.500 0.500
0.500 0.787 0.213
0.000 0.500 0.000
0.000 0.333 0.667
0.000 0.667 0.333
0.000 0.000 0.000
```